FeSiHgBiPt after structural relaxation, computed with PBE.

Cell lengths 5.8977, 3.0477, 11.4933 Å; angles 90.00, 106.80, 90.00 degrees
Closest atoms and distances in Å follow each position.
Positions (direct):
1 Hg 0.3011 0.0000 0.4596  2 Fe 2.84-3.12, 2 Pt 3.04, 2 Hg 3.05, 1 Bi 3.08
2 Hg 0.3011 0.5000 0.9596  2 Fe 2.84-3.12, 2 Pt 3.04, 2 Hg 3.05, 1 Bi 3.08
3 Bi 0.4828 0.5000 0.2392  2 Fe 2.82, 2 Pt 2.89-3.01, 2 Bi 3.05, 1 Hg 3.08
4 Bi 0.4828 0.0000 0.7392  2 Fe 2.82, 2 Pt 2.89-3.01, 2 Bi 3.05, 1 Hg 3.08
5 Fe 0.8032 0.0000 0.4204  2 Si 2.32
6 Fe 0.8032 0.5000 0.9204  2 Si 2.32
7 Si 0.8878 0.0000 0.0790  2 Fe 2.32, 2 Pt 2.40
8 Si 0.8878 0.5000 0.5790  2 Fe 2.32, 2 Pt 2.40
9 Pt 0.9769 0.5000 0.2470  2 Si 2.40
10 Pt 0.9769 0.0000 0.7470  2 Si 2.40

Summary:
Symmetry: Cm (8)
Relative energy among the computed polymorphs, meV per atom: 167
E, eV/atom: -4.71
Calculated density, g/cm³: 11.56
DOS(E_F), states/eV/cell: 6.72
Formation energy from raw total energies, eV/atom: 0.109
Size of the total moment, μB/f.u.: 1.73



ZrCd2Hg after structural relaxation, computed with PBE.

Cell lengths 3.2645, 3.2645, 8.1651 Å; angles 90.00, 90.00, 90.00 degrees
Closest atoms and distances in Å follow each position.
Positions (direct):
1 Cd 0.5000 0.5000 0.2490  8 Cd 3.06-3.26, 4 Hg 3.09
2 Cd 0.0000 0.0000 0.0025  8 Cd 3.06-3.26, 4 Zr 3.11
3 Hg 0.0000 0.0000 0.5007  4 Zr 3.07, 4 Cd 3.09, 4 Hg 3.26
4 Zr 0.5000 0.5000 0.7477  4 Hg 3.07, 4 Cd 3.11, 4 Zr 3.26

Summary:
Symmetry: P4mm (99)
E, eV/atom: -2.75
Calculated density, g/cm³: 9.86
Calculated formation energy, eV per formula unit: -0.320
DOS(E_F), states/eV/cell: 2.69
Size of the total moment, μB/f.u.: 0.00



SrMoAu4 after structural relaxation, computed with PBE.

Cell lengths 5.6539, 5.6539, 5.6539 Å; angles 60.00, 60.00, 60.00 degrees
Closest atoms and distances in Å follow each position.
Positions (direct):
1 Au 0.3755 0.3755 0.8736  6 Au 2.82-2.84
2 Au 0.8736 0.3755 0.3755  6 Au 2.82-2.84
3 Au 0.3755 0.3755 0.3755  6 Au 2.82-2.84
4 Au 0.3755 0.8736 0.3755  6 Au 2.82-2.84
5 Sr 0.0000 0.0000 0.0000  12 Au 3.32, 4 Mo 3.46
6 Mo 0.7500 0.7500 0.7500  12 Au 3.31, 4 Sr 3.46

Summary:
Symmetry: F-43m (216)
E, eV/atom: -4.16
Calculated density, g/cm³: 12.62
Calculated formation energy, eV per formula unit: 0.682
DOS(E_F), states/eV/cell: 3.86
Size of the total moment, μB/f.u.: 4.29



Q: Among the records above, which one has the highest size of the total moment?
A: SrMoAu4



Q: The highest size of the total moment belongs to which entry?
A: SrMoAu4



Q: Number 1 is which compound?
A: FeSiHgBiPt



Copy entry 2 word for word.
ZrCd2Hg after structural relaxation, computed with PBE.

Cell lengths 3.2645, 3.2645, 8.1651 Å; angles 90.00, 90.00, 90.00 degrees
Closest atoms and distances in Å follow each position.
Positions (direct):
1 Cd 0.5000 0.5000 0.2490  8 Cd 3.06-3.26, 4 Hg 3.09
2 Cd 0.0000 0.0000 0.0025  8 Cd 3.06-3.26, 4 Zr 3.11
3 Hg 0.0000 0.0000 0.5007  4 Zr 3.07, 4 Cd 3.09, 4 Hg 3.26
4 Zr 0.5000 0.5000 0.7477  4 Hg 3.07, 4 Cd 3.11, 4 Zr 3.26

Summary:
Symmetry: P4mm (99)
E, eV/atom: -2.75
Calculated density, g/cm³: 9.86
Calculated formation energy, eV per formula unit: -0.320
DOS(E_F), states/eV/cell: 2.69
Size of the total moment, μB/f.u.: 0.00